{"formula": "TlNi2Pb", "functional": "GGA-PBE", "state": "relaxed", "spacegroup": "R-3m, No. 166", "n_ef_per_ev_atom": 0.7341, "m_tot_mub_per_fu": 0.00, "formation_energy_mev_per_atom": 386, "crystal_system": "trigonal", "lattice_angstrom": [[7.631, 0.010, 0.006], [6.843, 3.379, 0.006], [6.843, 1.602, 2.975]], "species": ["Tl", "Ni", "Pb", "Ni"], "frac_coords": [[0.750, 0.750, 0.750], [0.001, 0.001, 0.001], [0.250, 0.250, 0.250], [0.499, 0.499, 0.499]]}

***

{"formula": "Li14TlIn", "functional": "GGA-PBE", "state": "relaxed", "spacegroup": "P4/mmm, No. 123", "n_ef_per_ev_atom": 0.4609, "m_tot_mub_per_fu": 0.00, "formation_energy_mev_per_atom": -112, "crystal_system": "tetragonal", "lattice_angstrom": [[-5.456, -4.244, -1.198], [2.724, -1.747, -6.224], [3.064, -4.690, 2.657]], "species": ["Li", "Li", "Li", "Li", "Li", "Li", "Li", "Tl", "Li", "Li", "In", "Li", "Li", "Li", "Li", "Li"], "frac_coords": [[0.375, 0.375, 0.000], [0.625, 0.625, 0.739], [0.125, 0.625, 0.739], [0.125, 0.125, 0.739], [0.875, 0.375, 0.500], [0.875, 0.375, 0.000], [0.625, 0.625, 0.261], [0.375, 0.375, 0.500], [0.875, 0.875, 0.000], [0.125, 0.125, 0.261], [0.875, 0.875, 0.500], [0.125, 0.625, 0.261], [0.375, 0.875, 0.500], [0.375, 0.875, 0.000], [0.625, 0.125, 0.261], [0.625, 0.125, 0.739]]}

***

Please write out number 1 again, unchanged.
{"formula": "TlNi2Pb", "functional": "GGA-PBE", "state": "relaxed", "spacegroup": "R-3m, No. 166", "n_ef_per_ev_atom": 0.7341, "m_tot_mub_per_fu": 0.00, "formation_energy_mev_per_atom": 386, "crystal_system": "trigonal", "lattice_angstrom": [[7.631, 0.010, 0.006], [6.843, 3.379, 0.006], [6.843, 1.602, 2.975]], "species": ["Tl", "Ni", "Pb", "Ni"], "frac_coords": [[0.750, 0.750, 0.750], [0.001, 0.001, 0.001], [0.250, 0.250, 0.250], [0.499, 0.499, 0.499]]}

***

What did the first record say?
{"formula": "TlNi2Pb", "functional": "GGA-PBE", "state": "relaxed", "spacegroup": "R-3m, No. 166", "n_ef_per_ev_atom": 0.7341, "m_tot_mub_per_fu": 0.00, "formation_energy_mev_per_atom": 386, "crystal_system": "trigonal", "lattice_angstrom": [[7.631, 0.010, 0.006], [6.843, 3.379, 0.006], [6.843, 1.602, 2.975]], "species": ["Tl", "Ni", "Pb", "Ni"], "frac_coords": [[0.750, 0.750, 0.750], [0.001, 0.001, 0.001], [0.250, 0.250, 0.250], [0.499, 0.499, 0.499]]}